# CsZnRuRh2

CsZnRuRh2 at its PBEsol-relaxed geometry (SCAN, Alexandria via LeMat-Bulk).

Cell: 4.691 4.691 4.710 Å, 90.00 90.00 90.00°
Space group P4/mmm (No. 123)
Symmetry-distinct sites (fractional):
Cs: 0.000 0.000 0.000
Zn: 0.500 0.500 0.500
Ru: 0.500 0.500 0.000
Rh: 0.000 0.500 0.500

Output
* crystal system: tetragonal
* DFT formation energy: 1.2653 eV per atom
* raw total energy: -147.37 eV per cell

# CsRh2S2

CsRh2S2 at its PBEsol-relaxed geometry (SCAN, Alexandria via LeMat-Bulk).

Cell: 3.908 3.908 13.635 Å, 90.00 90.00 90.00°
Space group I4/mmm (No. 139)
Symmetry-distinct sites (fractional):
Cs: 0.000 0.000 0.000
Rh: 0.000 0.500 0.250
S: 0.000 0.000 0.345

Output
* crystal system: tetragonal
* raw formation energy: -14.11 kcal/mol of atoms
* raw total energy: -255.34 eV per cell

# CsRh3S

CsRh3S at its PBEsol-relaxed geometry (SCAN, Alexandria via LeMat-Bulk).

Cell: 4.522 4.522 4.522 Å, 90.00 90.00 90.00°
Space group Pm-3m (No. 221)
Symmetry-distinct sites (fractional):
Cs: 0.000 0.000 0.000
Rh: 0.000 0.500 0.500
S: 0.500 0.500 0.500

Output
* crystal system: cubic
* raw formation energy: 9.24 kcal/mol of atoms
* raw total energy: -146.75 eV per cell

> The lowest raw total energy belongs to which entry?

CsRh2S2

> Look up the raw total energy of the third one.

-146.75 eV per cell

> What is the formula in the first record?

CsZnRuRh2